First-principles (PBE-GGA) data for an optimized crystal structure of KRe3, as listed in Alexandria.

a b c (Å): 2.799 2.799 9.704
angles (deg): 90.00 90.00 90.00
Sites, in units of the cell vectors:
K 0.000 0.000 0.000
Re 0.000 0.000 0.500
Re 0.500 0.500 0.310
Re 0.500 0.500 0.690

Results
Its crystal system is tetragonal. As for the formation enthalpy at 0 K: 0.886 eV per atom. For the energy above the most stable polymorph in this dataset, the calculation gives 159 meV per atom. Its total DFT energy (no corrections) is -8.72 eV/atom.